# 1
GGA-PBE BaSc2Cu, relaxed; space-group type = No. 141; DFT formation energy = 0.6009 eV per atom; distance to the lowest polymorph of the same formula = 504 meV/atom
1.0
5.908 0.000 0.000
0.000 5.908 0.000
0.000 0.000 16.850
Ba Sc Cu
4 8 4
direct
0.000 0.250 0.375
0.000 0.750 0.625
0.500 0.250 0.125
0.500 0.750 0.875
0.000 0.000 0.000
0.000 0.500 0.000
0.250 0.250 0.750
0.250 0.750 0.250
0.500 0.000 0.500
0.500 0.500 0.500
0.750 0.250 0.750
0.750 0.750 0.250
0.000 0.250 0.875
0.000 0.750 0.125
0.500 0.250 0.625
0.500 0.750 0.375

---

# 2
GGA-PBE CdHg2Ge2, relaxed; space-group type = No. 139; DFT formation energy = 0.2818 eV per atom; distance to the lowest polymorph of the same formula = 72 meV/atom
1.0
4.530 0.000 0.000
0.000 4.530 0.000
0.000 0.000 12.037
Cd Hg Ge
2 4 4
direct
0.000 0.000 0.000
0.500 0.500 0.500
0.000 0.500 0.250
0.000 0.500 0.750
0.500 0.000 0.250
0.500 0.000 0.750
0.000 0.000 0.396
0.000 0.000 0.604
0.500 0.500 0.104
0.500 0.500 0.896

---

# 3
GGA-PBE Tb3Pr2Sm6In, relaxed; space-group type = No. 12; DFT formation energy = -0.0550 eV per atom
1.0
3.097 -5.371 0.000
3.097 5.371 0.000
-2.079 0.000 11.717
Tb Pr Sm In
3 2 6 1
direct
0.000 0.000 0.000
0.333 0.667 0.000
0.667 0.333 0.000
0.166 0.834 0.500
0.834 0.166 0.500
0.091 0.417 0.250
0.258 0.258 0.751
0.417 0.091 0.250
0.583 0.909 0.750
0.742 0.742 0.249
0.909 0.583 0.750
0.500 0.500 0.500

---

# 4
GGA-PBE Ac8LaNd4, relaxed; space-group type = No. 166; DFT formation energy = 0.3932 eV per atom
1.0
5.960 3.441 4.853
-5.960 3.441 4.853
0.000 -6.882 4.853
Ac La Nd
8 1 4
direct
0.239 0.239 0.239
0.239 0.239 0.760
0.239 0.760 0.239
0.240 0.761 0.761
0.760 0.239 0.239
0.761 0.240 0.761
0.761 0.761 0.240
0.761 0.761 0.761
0.500 0.500 0.500
0.000 0.000 0.000
0.000 0.500 0.500
0.500 0.000 0.500
0.500 0.500 0.000